Record 1
First-principles (PBE-GGA) data for an optimized crystal structure of NpTl2HgSe4, as listed in the Alexandria database.

Lattice parameters (Å, degrees): 4.166 8.135 7.385 70.05 90.00 90.00
Last column: magnetic moment on the atom in μB.
Element x y z (fractional)
Se: 0.000 0.305 0.240  -0.08
Se: 0.500 0.716 0.289  -0.10
Se: 0.500 0.284 0.711  -0.10
Se: 0.000 0.695 0.760  -0.08
Tl: 0.000 0.000 0.000  -0.01
Tl: 0.500 0.000 0.500  -0.01
Hg: 0.500 0.500 0.000  0.01
Np: 0.000 0.500 0.500  3.42

Summary:
Its total energy is -4.567 eV/atom. As for the crystal system: monoclinic.

***

Record 2
First-principles (PBE-GGA) data for an optimized crystal structure of NpSnHg, as listed in the Alexandria database.

Lattice parameters (Å, degrees): 3.029 5.279 5.279 120.00 90.00 90.00
Last column: magnetic moment on the atom in μB.
Element x y z (fractional)
Np: 0.666 0.333 0.667  4.24
Hg: 0.168 0.667 0.333  -0.01
Sn: 0.166 0.000 0.000  -0.06

Summary:
The formation energy comes out at 0.06 eV per atom. The energy above the most stable polymorph in this dataset comes out at 0 meV/atom. As for the crystal system: hexagonal.

***

Record 3
First-principles (PBE-GGA) data for an optimized crystal structure of NpSnHg, as listed in the Alexandria database.

Lattice parameters (Å, degrees): 3.691 5.373 7.542 69.13 90.00 90.00
Last column: magnetic moment on the atom in μB.
Element x y z (fractional)
Hg: 0.750 0.415 0.169  -0.01
Hg: 0.250 0.585 0.831  -0.01
Np: 0.750 0.054 0.891  0.64
Np: 0.250 0.946 0.109  0.64
Sn: 0.750 0.754 0.491  -0.01
Sn: 0.250 0.246 0.509  -0.01

Summary:
The formation energy comes out at 0.09 eV per atom. The energy above the most stable polymorph in this dataset comes out at 35 meV/atom. As for the crystal system: orthorhombic.

***

Record 4
First-principles (PBE-GGA) data for an optimized crystal structure of NpSnHg2, as listed in the Alexandria database.

Lattice parameters (Å, degrees): 3.877 3.877 6.798 90.00 90.00 90.00
Last column: magnetic moment on the atom in μB.
Element x y z (fractional)
Hg: 0.000 0.000 0.754  0.02
Hg: 0.000 0.000 0.246  0.02
Sn: 0.500 0.500 0.000  -0.01
Np: 0.500 0.500 0.500  4.21

Summary:
The formation energy comes out at 0.14 eV per atom. As for the crystal system: tetragonal.

***

Record 5
First-principles (PBE-GGA) data for an optimized crystal structure of Np2Sn9Hg, as listed in the Alexandria database.

Lattice parameters (Å, degrees): 4.601 4.601 14.753 90.00 90.00 90.00
Last column: magnetic moment on the atom in μB.
Element x y z (fractional)
Np: 0.000 0.000 0.655  3.91
Np: 0.000 0.000 0.345  3.91
Sn: 0.500 0.500 0.000  -0.02
Sn: 0.500 0.500 0.664  -0.02
Sn: 0.000 0.500 0.500  -0.01
Sn: 0.000 0.500 0.175  0.01
Sn: 0.500 0.000 0.825  0.01
Sn: 0.500 0.000 0.500  -0.01
Sn: 0.000 0.500 0.825  0.01
Sn: 0.500 0.000 0.175  0.01
Sn: 0.500 0.500 0.336  -0.02
Hg: 0.000 0.000 0.000  0.00

Summary:
The formation energy comes out at -0.04 eV per atom. As for the crystal system: tetragonal.

***

Record 6
First-principles (PBE-GGA) data for an optimized crystal structure of NpSnHg2, as listed in the Alexandria database.

Lattice parameters (Å, degrees): 4.885 4.524 4.524 90.00 90.00 90.00
Last column: magnetic moment on the atom in μB.
Element x y z (fractional)
Hg: 0.000 0.500 0.000  0.02
Hg: 0.000 0.000 0.500  0.02
Sn: 0.500 0.500 0.500  -0.01
Np: 0.500 0.000 0.000  3.98

Summary:
The formation energy comes out at 0.04 eV per atom. As for the crystal system: tetragonal.

***

Record 7
First-principles (PBE-GGA) data for an optimized crystal structure of Np2SnHg, as listed in the Alexandria database.

Lattice parameters (Å, degrees): 4.961 4.405 4.405 90.00 90.00 90.00
Last column: magnetic moment on the atom in μB.
Element x y z (fractional)
Hg: 0.500 0.000 0.000  -0.02
Np: 0.000 0.000 0.500  4.27
Np: 0.000 0.500 0.000  4.27
Sn: 0.500 0.500 0.500  -0.07

Summary:
The formation energy comes out at 0.12 eV per atom. As for the crystal system: tetragonal.

***

Record 8
First-principles (PBE-GGA) data for an optimized crystal structure of NpSnHg, as listed in the Alexandria database.

Lattice parameters (Å, degrees): 3.374 3.374 7.108 103.73 103.73 90.00
Last column: magnetic moment on the atom in μB.
Element x y z (fractional)
Sn: 0.669 0.669 0.337  -0.05
Hg: 0.332 0.332 0.665  0.02
Np: 0.999 0.999 0.998  4.35

Summary:
The formation energy comes out at 0.13 eV per atom. The energy above the most stable polymorph in this dataset comes out at 75 meV/atom. As for the crystal system: tetragonal.

***

Record 9
First-principles (PBE-GGA) data for an optimized crystal structure of Np2SnHg, as listed in the Alexandria database.

Lattice parameters (Å, degrees): 3.182 3.182 9.613 90.00 90.00 90.00
Last column: magnetic moment on the atom in μB.
Element x y z (fractional)
Np: 0.000 0.000 0.750  4.17
Np: 0.000 0.000 0.250  4.17
Sn: 0.500 0.500 0.500  -0.09
Hg: 0.500 0.500 0.000  -0.01

Summary:
The formation energy comes out at 0.14 eV per atom. As for the crystal system: tetragonal.

***

Record 10
First-principles (PBE-GGA) data for an optimized crystal structure of YNpSnHg, as listed in the Alexandria database.

Lattice parameters (Å, degrees): 5.311 5.311 5.311 60.00 60.00 60.00
Last column: magnetic moment on the atom in μB.
Element x y z (fractional)
Y: 0.750 0.750 0.750  0.30
Np: 0.250 0.250 0.250  4.20
Hg: 0.000 0.000 0.000  0.05
Sn: 0.500 0.500 0.500  -0.05

Summary:
The formation energy comes out at -0.18 eV per atom. As for the crystal system: cubic.

***

Record 11
First-principles (PBE-GGA) data for an optimized crystal structure of NpZnSnHg, as listed in the Alexandria database.

Lattice parameters (Å, degrees): 5.080 5.080 5.080 60.00 60.00 60.00
Last column: magnetic moment on the atom in μB.
Element x y z (fractional)
Hg: 0.500 0.500 0.500  0.01
Zn: 0.000 0.000 0.000  0.01
Sn: 0.250 0.250 0.250  -0.06
Np: 0.750 0.750 0.750  4.06

Summary:
The formation energy comes out at 0.15 eV per atom. As for the crystal system: cubic.

***

Record 12
First-principles (PBE-GGA) data for an optimized crystal structure of Np2TcHg, as listed in the Alexandria database.

Lattice parameters (Å, degrees): 3.185 3.185 8.606 90.00 90.00 90.00
Last column: magnetic moment on the atom in μB.
Element x y z (fractional)
Np: 0.000 0.000 0.790  3.81
Np: 0.000 0.000 0.210  3.81
Hg: 0.500 0.500 0.500  0.03
Tc: 0.500 0.500 0.000  -0.60

Summary:
The formation energy comes out at 0.17 eV per atom. As for the crystal system: tetragonal.